Entry from the Alexandria database: a relaxed ScGaTc crystal (PBE-GGA).

Calculated values
Crystal system: tetragonal
ΔE_f: -1.2 eV per formula unit
VASP energy: -6.961 eV per atom
Energy relative to the lowest polymorph listed for this composition: 0.106 eV per atom

Cell: 3.355 3.355 8.896 Å, 90.00 90.00 90.00°
Space group I4mm (No. 107)
Inequivalent atoms, fractional coordinates:
Sc: 0.000 0.000 0.000 (multiplicity 2)
Ga: 0.000 0.000 0.312 (multiplicity 2)
Tc: 0.000 0.000 0.674 (multiplicity 2)